Entry 1:
GGA-PBEsol Tm5In4, optimized geometry; space-group type = P6_3/mcm; ΔH_f (0 K) = -459 meV per atom
1.0
-0.444 -5.517 3.269
8.731 -1.668 -1.630
-2.419 4.582 7.405
In Tm
8 10
Direct
0.500 0.000 0.000
0.000 0.000 0.000
0.750 0.000 0.371
0.750 0.629 0.629
0.250 0.371 0.371
0.750 0.371 0.000
0.250 0.000 0.629
0.250 0.629 0.000
0.500 0.333 0.667
0.750 0.000 0.708
0.750 0.292 0.292
0.250 0.708 0.708
0.250 0.292 0.000
0.250 0.000 0.292
0.500 0.667 0.333
0.750 0.708 0.000
0.000 0.333 0.667
0.000 0.667 0.333


Entry 2:
GGA-PBEsol CaP3Ir, optimized geometry; space-group type = Pm-3m; ΔH_f (0 K) = 123 meV per atom
1.0
-1.159 -2.166 3.976
-1.429 -3.720 -2.443
4.297 -1.821 0.260
Ca Ir P
1 1 3
Direct
0.500 0.500 0.500
0.000 0.000 0.000
0.500 0.000 0.000
0.000 0.000 0.500
0.000 0.500 0.000


- Look up the ΔH_f (0 K) of the first one.
  -459 meV per atom


- Among the records above, which one has the lowest ΔH_f (0 K)?
  Tm5In4


- ΔH_f (0 K) of number 2 (CaP3Ir)?
  123 meV per atom


Repeat the second record exactly.
GGA-PBEsol CaP3Ir, optimized geometry; space-group type = Pm-3m; ΔH_f (0 K) = 123 meV per atom
1.0
-1.159 -2.166 3.976
-1.429 -3.720 -2.443
4.297 -1.821 0.260
Ca Ir P
1 1 3
Direct
0.500 0.500 0.500
0.000 0.000 0.000
0.500 0.000 0.000
0.000 0.000 0.500
0.000 0.500 0.000